This record from the Alexandria database describes Na2ZrCrNi after structural relaxation. The functional is GGA-PBE.

The formation energy comes out at 1.79 eV/atom. As for the density: 2.9 Mg/m³. The value obtained for the raw total energy is -3.53 eV/atom. Its space group is No. 123.

a b c (Å): 5.630 5.630 4.480
angles (deg): 90.00 90.00 90.00
Fractional coordinates of all 5 atoms:
Na 0.000 0.500 0.000
Na 0.500 0.000 0.000
Zr 0.000 0.000 0.000
Cr 0.000 0.000 0.500
Ni 0.500 0.500 0.500